{"formula": "Ag2AsPt", "functional": "PBE", "state": "relaxed", "cell": [[0.000, 3.243, 3.243], [3.243, 0.000, 3.243], [3.243, 3.243, 0.000]], "species": ["Ag", "Ag", "As", "Pt"], "fractional_positions": [[0.000, 0.000, 0.000], [0.250, 0.250, 0.250], [0.500, 0.500, 0.500], [0.750, 0.750, 0.750]], "e_tot_ev_per_cell": -16.12, "sg": "F-43m, No. 216", "total_magnetization_mub_per_cell": 0.000}

=====

{"formula": "HfCo2Ni", "functional": "PBE", "state": "relaxed", "cell": [[0.000, 2.971, 2.971], [2.971, 0.000, 2.971], [2.971, 2.971, 0.000]], "species": ["Hf", "Co", "Co", "Ni"], "fractional_positions": [[0.000, 0.000, 0.000], [0.250, 0.250, 0.250], [0.500, 0.500, 0.500], [0.750, 0.750, 0.750]], "sg": "F-43m, No. 216", "total_magnetization_mub_per_cell": 2.094, "ef_ev_per_atom": -0.1336}

=====

{"formula": "RbDyHf", "functional": "PBE", "state": "relaxed", "cell": [[0.000, 4.042, 4.042], [4.042, 0.000, 4.042], [4.042, 4.042, 0.000]], "species": ["Rb", "Dy", "Hf"], "fractional_positions": [[0.000, 0.000, 0.000], [0.500, 0.500, 0.500], [0.750, 0.750, 0.750]], "e_tot_ev_per_cell": -10.56, "sg": "F-43m, No. 216", "total_magnetization_mub_per_cell": 4.479}

=====

{"formula": "Pu", "functional": "PBE", "state": "relaxed", "cell": [[3.361, 0.000, 0.000], [-1.681, 2.911, 0.000], [0.000, 0.000, 10.825]], "species": ["Pu", "Pu", "Pu", "Pu"], "fractional_positions": [[0.000, 0.000, 0.000], [0.000, 0.000, 0.500], [0.333, 0.667, 0.250], [0.667, 0.333, 0.750]], "sg": "P6_3/mmc, No. 194", "total_magnetization_mub_per_cell": 22.545, "ef_ev_per_atom": 0.1601}

=====

{"formula": "Mg2Co", "functional": "PBE", "state": "relaxed", "cell": [[0.000, 3.732, 3.732], [3.732, 0.000, 3.732], [3.732, 3.732, 0.000]], "species": ["Mg", "Mg", "Mg", "Mg", "Co", "Co"], "fractional_positions": [[0.000, 0.000, 0.000], [0.000, 0.000, 0.500], [0.000, 0.500, 0.000], [0.500, 0.000, 0.000], [0.375, 0.375, 0.375], [0.625, 0.625, 0.625]], "e_tot_ev_per_cell": -16.30, "sg": "Fd-3m, No. 227", "total_magnetization_mub_per_cell": 2.887}

=====

{"formula": "TlFeAgTeSe2", "functional": "PBE", "state": "relaxed", "cell": [[1.741, -7.757, 0.000], [1.741, 7.757, 0.000], [0.000, 0.000, 10.858]], "species": ["Tl", "Tl", "Fe", "Fe", "Ag", "Ag", "Te", "Te", "Se", "Se", "Se", "Se"], "fractional_positions": [[0.212, 0.788, 0.750], [0.788, 0.212, 0.250], [0.500, 0.500, 0.000], [0.500, 0.500, 0.500], [0.129, 0.871, 0.250], [0.871, 0.129, 0.750], [0.466, 0.534, 0.250], [0.534, 0.466, 0.750], [0.109, 0.891, 0.012], [0.109, 0.891, 0.488], [0.891, 0.109, 0.512], [0.891, 0.109, 0.988]], "e_tot_ev_per_cell": -48.48, "sg": "Cmcm, No. 63", "total_magnetization_mub_per_cell": 4.078}

=====

{"formula": "Mo4PbSN2", "functional": "PBE", "state": "relaxed", "cell": [[3.326, 0.000, 0.000], [-1.663, 2.881, 0.000], [0.000, 0.000, 12.052]], "species": ["Mo", "Mo", "Mo", "Mo", "Pb", "S", "N", "N"], "fractional_positions": [[0.000, 0.000, 0.137], [0.000, 0.000, 0.863], [0.667, 0.333, 0.299], [0.667, 0.333, 0.701], [0.000, 0.000, 0.500], [0.667, 0.333, 0.000], [0.333, 0.667, 0.243], [0.333, 0.667, 0.757]], "e_tot_ev_per_cell": -67.94, "sg": "P-6m2, No. 187", "total_magnetization_mub_per_cell": 0.000}

=====

{"formula": "SmHgNO", "functional": "PBE", "state": "relaxed", "cell": [[4.060, 0.000, 0.000], [0.000, 6.190, 0.000], [0.000, 0.000, 5.700]], "species": ["Sm", "Sm", "Hg", "Hg", "N", "N", "O", "O"], "fractional_positions": [[0.000, 0.205, 0.000], [0.000, 0.795, 0.500], [0.500, 0.269, 0.482], [0.500, 0.731, 0.982], [0.000, 0.161, 0.415], [0.000, 0.839, 0.915], [0.500, 0.336, 0.918], [0.500, 0.664, 0.418]], "e_tot_ev_per_cell": -45.20, "sg": "Pmc2_1, No. 26", "total_magnetization_mub_per_cell": 0.002}

=====

{"formula": "NbNiHg2", "functional": "PBE", "state": "relaxed", "cell": [[0.000, 3.287, 3.287], [3.287, 0.000, 3.287], [3.287, 3.287, 0.000]], "species": ["Nb", "Ni", "Hg", "Hg"], "fractional_positions": [[0.000, 0.000, 0.000], [0.250, 0.250, 0.250], [0.500, 0.500, 0.500], [0.750, 0.750, 0.750]], "sg": "F-43m, No. 216", "total_magnetization_mub_per_cell": 0.001, "ef_ev_per_atom": 0.3853}

=====

{"formula": "RbScCo", "functional": "PBE", "state": "relaxed", "cell": [[0.000, 3.418, 3.418], [3.418, 0.000, 3.418], [3.418, 3.418, 0.000]], "species": ["Rb", "Sc", "Co"], "fractional_positions": [[0.000, 0.000, 0.000], [0.500, 0.500, 0.500], [0.250, 0.250, 0.250]], "e_tot_ev_per_cell": -11.03, "sg": "F-43m, No. 216", "total_magnetization_mub_per_cell": 0.188}